A relaxed structure of Pm2Th3Au7, computed with PBE-GGA.

energy of formation from the pure elements: -531.5 meV/atom

Structure (POSCAR):
```
Pm2Th3Au7
1.0
5.493 0.000 0.000
0.000 5.130 0.000
0.000 -2.565 10.965
Au Th Pm
7 3 2
direct
0.500 0.912 0.823
0.000 0.720 0.441
0.000 0.430 0.859
0.500 0.088 0.177
0.000 0.570 0.141
0.000 0.280 0.559
0.000 0.000 0.000
0.500 0.500 0.000
0.500 0.672 0.344
0.500 0.328 0.656
0.000 0.141 0.282
0.000 0.859 0.718
```



A relaxed structure of SrCa2N, computed with PBE-GGA.

formation energy without anion corrections: -46 kJ/mol of atoms

Structure (POSCAR):
```
SrCa2N
1.0
-1.092 1.457 3.260
-3.637 0.413 0.735
-1.806 -8.545 5.351
Sr N Ca
1 1 2
direct
0.500 0.500 0.500
0.000 0.000 0.000
0.292 0.292 0.123
0.708 0.708 0.877
```



A relaxed structure of TaBeP2N6, computed with PBE-GGA.

formation energy without anion corrections: -46 kJ/mol of atoms

Structure (POSCAR):
```
TaBeP2N6
1.0
5.239 0.113 0.117
1.821 6.398 -0.059
1.821 -0.296 6.392
N Ta P Be
12 2 4 2
direct
0.828 0.048 0.203
0.328 0.203 0.048
0.088 0.638 0.155
0.672 0.797 0.952
0.412 0.845 0.362
0.172 0.952 0.797
0.414 0.394 0.346
0.914 0.346 0.394
0.086 0.654 0.606
0.912 0.362 0.845
0.586 0.606 0.654
0.588 0.155 0.638
0.250 0.874 0.126
0.750 0.126 0.874
0.679 0.232 0.399
0.821 0.601 0.768
0.321 0.768 0.601
0.179 0.399 0.232
0.750 0.808 0.192
0.250 0.192 0.808
```



A relaxed structure of Al2SbIr, computed with PBE-GGA.

formation energy without anion corrections: -28 kJ/mol of atoms

Structure (POSCAR):
```
Al2SbIr
1.0
-4.420 0.798 1.417
-4.488 -0.406 -1.370
-2.548 -5.315 2.358
Al Sb Ir
2 1 1
direct
0.804 0.804 0.647
0.991 0.991 0.971
0.177 0.177 0.246
0.529 0.529 0.636
```



A relaxed structure of AlAu2Se, computed with PBE-GGA.

formation energy without anion corrections: 16 kJ/mol of atoms

Structure (POSCAR):
```
AlAu2Se
1.0
-2.452 4.064 -0.192
-4.626 -0.066 -1.077
-3.231 0.985 3.340
Au Al Se
2 1 1
direct
0.250 0.250 0.250
0.000 0.000 0.000
0.500 0.500 0.500
0.750 0.750 0.750
```



A relaxed structure of BaLaIrBr, computed with PBE-GGA.

formation energy without anion corrections: -103 kJ/mol of atoms

Structure (POSCAR):
```
BaLaIrBr
1.0
-2.158 3.651 0.684
-1.401 -3.678 1.722
6.457 0.218 5.719
Br Ir La Ba
1 1 1 1
direct
0.956 0.376 0.347
0.325 0.560 0.901
0.101 0.948 0.064
0.496 0.146 0.658
```



A relaxed structure of CsCrMo3, computed with PBE-GGA.

excess energy over the best structure of this formula in the dataset: 0.0 meV per atom
energy of formation from the pure elements: 1883.1 meV/atom

Structure (POSCAR):
```
CsCrMo3
1.0
4.724 0.000 0.000
0.000 4.724 0.000
0.000 0.000 4.724
Mo Cs Cr
3 1 1
direct
0.000 0.500 0.000
0.500 0.000 0.000
0.000 0.000 0.500
0.500 0.500 0.500
0.000 0.000 0.000
```



A relaxed structure of BaAlFe3, computed with PBE-GGA.

excess energy over the best structure of this formula in the dataset: 0.0 meV per atom
energy of formation from the pure elements: 826.9 meV/atom

Structure (POSCAR):
```
BaAlFe3
1.0
4.747 0.000 0.000
0.000 4.747 0.000
0.000 0.000 4.747
Fe Ba Al
3 1 1
direct
0.500 0.000 0.000
0.000 0.000 0.500
0.000 0.500 0.000
0.500 0.500 0.500
0.000 0.000 0.000
```



A relaxed structure of K4CdPb, computed with PBE-GGA.

excess energy over the best structure of this formula in the dataset: 271.9 meV per atom
energy of formation from the pure elements: 227.4 meV/atom

Structure (POSCAR):
```
K4CdPb
1.0
0.000 5.119 5.119
5.119 0.000 5.119
5.119 5.119 0.000
K Cd Pb
4 1 1
direct
0.376 0.376 0.873
0.873 0.376 0.376
0.376 0.873 0.376
0.376 0.376 0.376
0.000 0.000 0.000
0.750 0.750 0.750
```



A relaxed structure of PrHoGaHg, computed with PBE-GGA.

excess energy over the best structure of this formula in the dataset: 0.0 meV per atom
energy of formation from the pure elements: -524.4 meV/atom

Structure (POSCAR):
```
PrHoGaHg
1.0
3.664 0.000 0.000
0.000 3.664 0.000
0.000 0.000 7.627
Hg Ga Pr Ho
1 1 1 1
direct
0.500 0.500 0.130
0.500 0.500 0.590
0.000 0.000 0.839
0.000 0.000 0.368
```



A relaxed structure of HfTe2S, computed with PBE-GGA.

formation energy without anion corrections: 48 kJ/mol of atoms

Structure (POSCAR):
```
HfTe2S
1.0
2.008 0.000 9.742
-1.004 1.739 9.742
-1.004 -1.739 9.742
Hf S Te
1 1 2
direct
0.000 0.000 0.000
0.500 0.500 0.500
0.903 0.903 0.903
0.097 0.097 0.097
```



A relaxed structure of HoPaSn, computed with PBE-GGA.

excess energy over the best structure of this formula in the dataset: 0.0 meV per atom
energy of formation from the pure elements: -138.1 meV/atom

Structure (POSCAR):
```
HoPaSn
1.0
-2.474 -2.057 -0.753
1.110 -0.198 -3.106
4.859 -4.577 3.787
Sn Ho Pa
1 1 1
direct
0.667 0.667 0.334
0.005 0.005 0.010
0.328 0.328 0.657
```



A relaxed structure of Ce2ZrO6, computed with PBE-GGA.

excess energy over the best structure of this formula in the dataset: 11.1 meV per atom
formation energy without anion corrections: -325 kJ/mol of atoms

Structure (POSCAR):
```
Ce2ZrO6
1.0
8.498 0.005 0.000
6.811 5.081 0.000
-7.654 -2.543 2.675
Zr Ce O
1 2 6
direct
0.000 0.000 0.000
0.336 0.336 0.000
0.664 0.664 0.000
0.250 0.750 0.500
0.750 0.250 0.500
0.422 0.922 0.500
0.578 0.078 0.500
0.078 0.578 0.500
0.922 0.422 0.500
```



A relaxed structure of Zn5P6H18O30, computed with PBE-GGA.

uncorrected energy: -336.5 eV/f.u.

Structure (POSCAR):
```
Zn5P6H18O30
1.0
-5.929 -4.245 4.258
6.531 -7.665 -1.382
3.910 7.415 5.497
O H P Zn
30 18 6 5
direct
0.752 0.179 0.675
0.126 0.875 0.522
0.630 0.486 0.708
0.103 0.810 0.974
0.696 0.425 0.441
0.441 0.952 0.147
0.812 0.628 0.011
0.474 0.592 0.871
0.273 0.882 0.845
0.667 0.903 0.463
0.897 0.190 0.026
0.324 0.277 0.384
0.333 0.097 0.537
0.983 0.479 0.301
0.304 0.575 0.559
0.676 0.723 0.616
0.370 0.514 0.292
0.188 0.372 0.989
0.559 0.048 0.853
0.526 0.408 0.129
0.874 0.125 0.478
0.017 0.521 0.699
0.248 0.821 0.325
0.417 0.626 0.116
0.767 0.909 0.938
0.233 0.091 0.062
0.583 0.374 0.884
0.979 0.040 0.697
0.727 0.118 0.155
0.021 0.960 0.303
0.710 0.431 0.351
0.993 0.552 0.262
0.693 0.791 0.727
0.554 0.393 0.034
0.335 0.217 0.443
0.307 0.209 0.273
0.007 0.448 0.738
0.961 0.382 0.211
0.920 0.063 0.405
0.376 0.944 0.843
0.290 0.569 0.649
0.039 0.618 0.789
0.665 0.783 0.557
0.624 0.056 0.157
0.446 0.607 0.966
0.181 0.534 0.463
0.819 0.466 0.537
0.080 0.937 0.595
0.626 0.519 0.868
0.374 0.481 0.132
0.738 0.064 0.991
0.814 0.061 0.578
0.262 0.936 0.009
0.186 0.939 0.422
0.559 0.168 0.736
0.500 0.500 0.500
0.441 0.832 0.264
0.067 0.166 0.934
0.933 0.834 0.066
```



A relaxed structure of CaTbGdIn, computed with PBE-GGA.

energy of formation from the pure elements: -151.3 meV/atom

Structure (POSCAR):
```
CaTbGdIn
1.0
-4.787 2.739 0.191
-4.144 -1.450 -3.344
-4.495 -2.440 2.074
Ca Tb Gd In
1 1 1 1
direct
0.000 0.000 0.000
0.250 0.250 0.250
0.750 0.750 0.750
0.500 0.500 0.500
```



A relaxed structure of BaCaTe, computed with PBE-GGA.

excess energy over the best structure of this formula in the dataset: 134.8 meV per atom
formation energy without anion corrections: -83 kJ/mol of atoms

Structure (POSCAR):
```
BaCaTe
1.0
-3.641 0.139 -4.054
1.651 -0.547 -5.166
-1.708 -9.220 -2.446
Ca Te Ba
2 2 2
direct
0.377 0.377 0.868
0.623 0.623 0.132
0.263 0.263 0.210
0.737 0.737 0.790
0.871 0.871 0.386
0.129 0.129 0.614
```



A relaxed structure of NbH2Cl, computed with PBE-GGA.

excess energy over the best structure of this formula in the dataset: 0.0 meV per atom

Structure (POSCAR):
```
NbH2Cl
1.0
6.096 0.000 0.000
0.000 6.096 0.000
3.048 3.048 2.530
H Nb Cl
4 2 2
direct
0.022 0.625 0.250
0.728 0.125 0.250
0.375 0.272 0.750
0.875 0.978 0.750
0.750 0.250 0.500
0.000 0.000 0.000
0.500 0.500 0.000
0.250 0.750 0.500
```



A relaxed structure of LiTa2Tl, computed with PBE-GGA.

energy of formation from the pure elements: 344.2 meV/atom

Structure (POSCAR):
```
LiTa2Tl
1.0
-0.395 -5.367 -1.010
2.979 -2.182 -4.043
0.772 3.287 4.311
Ta Li Tl
2 1 1
direct
0.000 0.000 0.000
0.500 0.500 0.000
0.750 0.250 0.500
0.250 0.750 0.500
```



A relaxed structure of Tb2CeTh6, computed with PBE-GGA.

energy of formation from the pure elements: 174.8 meV/atom

Structure (POSCAR):
```
Tb2CeTh6
1.0
6.547 0.006 0.931
1.030 9.290 2.821
0.055 0.749 9.734
Th Tb Ce
12 4 2
direct
0.504 0.339 0.641
0.294 0.047 0.594
0.216 0.010 0.235
0.794 0.594 0.047
0.004 0.641 0.339
0.284 0.765 0.990
0.706 0.953 0.406
0.784 0.990 0.765
0.716 0.235 0.010
0.996 0.359 0.661
0.496 0.661 0.359
0.206 0.406 0.953
0.380 0.358 0.281
0.620 0.642 0.719
0.120 0.719 0.642
0.880 0.281 0.358
0.250 0.097 0.903
0.750 0.903 0.097
```



| no. | total moment (μB per cell) |
| --- | --- |
| 1 | 0.00 |
| 2 | 0.00 |
| 3 | 2.03 |
| 4 | 0.00 |
| 5 | 0.00 |
| 6 | 0.00 |
| 7 | 0.00 |
| 8 | 7.64 |
| 9 | 0.00 |
| 10 | 0.00 |
| 11 | 0.00 |
| 12 | 0.00 |
| 13 | 0.00 |
| 14 | 2.23 |
| 15 | 7.43 |
| 16 | 0.00 |
| 17 | 0.00 |
| 18 | 0.00 |
| 19 | 0.00 |